Density functional theory data (PBE) for an optimized crystal structure of DyPuPa. Values from VASP.

Cell and atoms, written as Quantum ESPRESSO input:
```
&SYSTEM
  ibrav = 0, nat = 6, ntyp = 3
/
ATOMIC_SPECIES
Pa 231.04 Pa.upf
Dy 162.50 Dy.upf
Pu 244.00 Pu.upf
ATOMIC_POSITIONS angstrom
Pa -2.8347 2.5608 -5.2931
Pa -5.3233 1.1097 -5.5821
Dy -3.6889 4.1696 -7.8742
Dy -4.4691 -0.4991 -3.0010
Pu -1.5147 1.2237 -2.6578
Pu -6.6433 2.4468 -8.2173
CELL_PARAMETERS angstrom
-2.3014 4.4002 -2.2756
0.2174 0.7051 -5.4122
-6.0740 -1.4349 -3.1874
```

Properties
* DFT total energy: -8.9901 eV per atom
* D(E_F): 13.72 states/eV/cell
* calculated volume: 80.9 Å³/f.u.
* relative energy among the computed polymorphs: 361 meV per atom
* energy relative to the elements: 0.49 eV/atom